This record from the Alexandria database describes crystalline Na2IrPbO4 at its relaxed geometry. The functional is PBE.

Properties
- total energy (eV/atom) = -5.46
- uncorrected formation energy (eV/atom) = -1.0750

abc: 5.9830 5.9830 6.7035
angles: 90.00 90.00 90.00
Space group I-4 (No. 82)
Unique sites:
Na  0.0000  0.0000  0.0000
Na  0.0000  0.5000  0.2500
Ir  0.0000  0.5000  0.7500
Pb  0.0000  0.0000  0.5000
O  0.2064  0.7467  0.7578